# 1
Here is LiDyNi after structural relaxation from Alexandria. Energies are from PBE.

```
LiDyNi
1.0
4.212 0.000 0.000
-2.106 3.648 0.000
0.000 0.000 3.581
Li Dy Ni
1 1 1
Cartesian
0.000 0.000 0.000
2.106 1.216 1.791
0.000 2.432 0.000
```

Values from the calculation:
- Calculated volume: 18.34 A^3/atom
- Space group: P-6m2, No. 187
- Energy relative to the elements: -9 kJ/mol of atoms
- Excess energy over the best structure of this formula in the dataset: 0.124 eV per atom
- Density of states at the Fermi level: 0.644 states/eV per atom
- ρ: 6.9 g cm⁻³

***

# 2
Here is Li3DyNi8 after structural relaxation from Alexandria. Energies are from PBE.

```
Li3DyNi8
1.0
2.408 1.390 7.851
-2.408 1.390 7.851
0.000 -2.780 7.851
Li Dy Ni
3 1 8
Cartesian
0.000 0.000 0.000
0.000 0.000 2.723
0.000 0.000 14.868
0.000 0.000 11.796
-1.210 -0.699 9.307
0.000 -1.395 5.468
-1.208 0.698 5.468
0.000 0.000 7.389
1.210 -0.699 9.307
0.000 1.397 9.307
1.208 0.698 5.468
0.000 0.000 19.145
```

Values from the calculation:
- Calculated volume: 13.14 A^3/atom
- Space group: R3m, No. 160
- Energy relative to the elements: -18 kJ/mol of atoms
- Density of states at the Fermi level: 0.862 states/eV per atom
- ρ: 6.9 g cm⁻³

***

# 3
Here is LiDy2Ni2 after structural relaxation from Alexandria. Energies are from PBE.

```
LiDy2Ni2
1.0
-2.084 2.783 4.063
2.084 -2.783 4.063
2.084 2.783 -4.063
Li Dy Ni
1 2 2
Cartesian
0.000 0.000 0.000
2.084 0.000 2.380
0.000 2.783 1.683
2.084 1.574 0.000
0.000 1.209 4.063
```

Values from the calculation:
- Calculated volume: 18.85 A^3/atom
- Space group: Immm, No. 71
- Energy relative to the elements: -29 kJ/mol of atoms
- Density of states at the Fermi level: 0.586 states/eV per atom
- ρ: 7.9 g cm⁻³

***

# 4
Here is LiDyNi after structural relaxation from Alexandria. Energies are from PBE.

```
LiDyNi
1.0
-1.711 1.711 4.687
1.711 -1.711 4.687
1.711 1.711 -4.687
Li Dy Ni
1 1 1
Cartesian
0.000 0.000 0.000
0.000 0.000 2.740
0.000 0.000 5.986
```

Values from the calculation:
- Calculated volume: 18.30 A^3/atom
- Space group: I4mm, No. 107
- Energy relative to the elements: -9 kJ/mol of atoms
- Excess energy over the best structure of this formula in the dataset: 0.120 eV per atom
- Density of states at the Fermi level: 0.743 states/eV per atom
- ρ: 6.9 g cm⁻³

***

# 5
Here is LiDy2Ni12P3 after structural relaxation from Alexandria. Energies are from PBE.

```
LiDy2Ni12P3
1.0
4.183 2.415 3.914
-4.183 2.415 3.914
0.000 -4.830 3.914
Li Dy Ni P
1 2 12 3
Cartesian
0.000 0.000 0.000
0.000 0.000 4.087
0.000 0.000 7.654
-2.182 -1.260 5.271
0.000 -2.474 4.108
-2.143 1.237 4.108
-2.143 -1.237 7.633
0.000 -2.519 6.470
-2.182 1.260 6.470
2.182 -1.260 5.271
0.000 2.519 5.271
2.143 1.237 4.108
2.143 -1.237 7.633
0.000 2.474 7.633
2.182 1.260 6.470
-4.183 0.000 5.870
-2.091 1.207 1.957
2.091 1.207 1.957
```

Values from the calculation:
- Calculated volume: 13.18 A^3/atom
- Space group: R-3m, No. 166
- Energy relative to the elements: -21 kJ/mol of atoms
- Density of states at the Fermi level: 0.669 states/eV per atom
- ρ: 7.9 g cm⁻³

***

# 6
Here is LiDyNiPb after structural relaxation from Alexandria. Energies are from PBE.

```
LiDyNiPb
1.0
0.000 3.324 3.324
3.324 0.000 3.324
3.324 3.324 0.000
Li Dy Ni Pb
1 1 1 1
Cartesian
0.000 0.000 0.000
1.662 1.662 1.662
3.324 3.324 3.324
4.986 4.986 4.986
```

Values from the calculation:
- Calculated volume: 18.37 A^3/atom
- Space group: F-43m, No. 216
- Energy relative to the elements: -39 kJ/mol of atoms
- Density of states at the Fermi level: 0.028 states/eV per atom
- ρ: 9.8 g cm⁻³

***

# 7
Here is LiDyNiPd after structural relaxation from Alexandria. Energies are from PBE.

```
LiDyNiPd
1.0
0.000 3.260 3.260
3.260 0.000 3.260
3.260 3.260 0.000
Li Dy Ni Pd
1 1 1 1
Cartesian
0.000 0.000 0.000
3.260 3.260 3.260
1.630 1.630 1.630
4.890 4.890 4.890
```

Values from the calculation:
- Calculated volume: 17.32 A^3/atom
- Space group: F-43m, No. 216
- Energy relative to the elements: -38 kJ/mol of atoms
- Density of states at the Fermi level: 0.477 states/eV per atom
- ρ: 8.0 g cm⁻³

***

# 8
Here is LiDyNiPt after structural relaxation from Alexandria. Energies are from PBE.

```
LiDyNiPt
1.0
0.000 3.250 3.250
3.250 0.000 3.250
3.250 3.250 0.000
Li Dy Ni Pt
1 1 1 1
Cartesian
0.000 0.000 0.000
3.250 3.250 3.250
4.875 4.875 4.875
1.625 1.625 1.625
```

Values from the calculation:
- Calculated volume: 17.16 A^3/atom
- Space group: F-43m, No. 216
- Energy relative to the elements: -53 kJ/mol of atoms
- Density of states at the Fermi level: 0.253 states/eV per atom
- ρ: 10.2 g cm⁻³

***

# 9
Here is LiDyPuNi after structural relaxation from Alexandria. Energies are from PBE.

```
LiDyPuNi
1.0
0.000 3.452 3.452
3.452 0.000 3.452
3.452 3.452 0.000
Li Dy Pu Ni
1 1 1 1
Cartesian
0.000 0.000 0.000
1.726 1.726 1.726
5.177 5.177 5.177
3.452 3.452 3.452
```

Values from the calculation:
- Calculated volume: 20.56 A^3/atom
- Space group: F-43m, No. 216
- Energy relative to the elements: 5 kJ/mol of atoms
- Density of states at the Fermi level: 1.710 states/eV per atom
- ρ: 9.5 g cm⁻³

***

# 10
Here is LiDyNiSb after structural relaxation from Alexandria. Energies are from PBE.

```
LiDyNiSb
1.0
0.000 3.280 3.280
3.280 0.000 3.280
3.280 3.280 0.000
Li Dy Ni Sb
1 1 1 1
Cartesian
0.000 0.000 0.000
4.920 4.920 4.920
3.280 3.280 3.280
1.640 1.640 1.640
```

Values from the calculation:
- Calculated volume: 17.64 A^3/atom
- Space group: F-43m, No. 216
- ΔE_f (raw): -514 meV per atom
- Density of states at the Fermi level: 0.584 states/eV per atom
- ρ: 8.2 g cm⁻³

***

# 11
Here is LiDySiNi after structural relaxation from Alexandria. Energies are from PBE.

```
LiDySiNi
1.0
0.000 3.114 3.114
3.114 0.000 3.114
3.114 3.114 0.000
Li Dy Si Ni
1 1 1 1
Cartesian
0.000 0.000 0.000
1.557 1.557 1.557
4.672 4.672 4.672
3.114 3.114 3.114
```

Values from the calculation:
- Calculated volume: 15.10 A^3/atom
- Space group: F-43m, No. 216
- ΔE_f (raw): -535 meV per atom
- ρ: 7.0 g cm⁻³

***

# 12
Here is Li3Dy2SiNi12 after structural relaxation from Alexandria. Energies are from PBE.

```
Li3Dy2SiNi12
1.0
2.560 1.478 11.156
-2.560 1.478 11.156
0.000 -2.956 11.156
Li Dy Si Ni
3 2 1 12
Cartesian
-1.280 -0.739 11.156
-1.280 0.739 22.313
0.000 1.478 11.156
0.000 0.000 4.732
0.000 0.000 28.737
0.000 0.000 16.735
0.000 -1.563 9.230
-1.353 0.781 9.230
-1.263 -0.729 14.902
-1.353 -0.781 24.239
0.000 -1.459 18.567
-1.263 0.729 18.567
1.263 -0.729 14.902
0.000 1.459 14.902
1.353 0.781 9.230
1.263 0.729 18.567
1.353 -0.781 24.239
0.000 1.563 24.239
```

Values from the calculation:
- Calculated volume: 14.07 A^3/atom
- Space group: R-3m, No. 166
- ΔE_f (raw): -24 meV per atom
- Density of states at the Fermi level: 1.242 states/eV per atom
- ρ: 7.1 g cm⁻³

***

# 13
Here is LiDySi2Ni after structural relaxation from Alexandria. Energies are from PBE.

```
LiDySi2Ni
1.0
-1.983 1.983 4.980
1.983 -1.983 4.980
1.983 1.983 -4.980
Li Dy Si Ni
1 1 2 1
Cartesian
0.000 0.000 0.000
1.983 0.000 2.490
0.000 1.983 1.305
0.000 1.983 3.675
0.000 0.000 4.980
```

Values from the calculation:
- Calculated volume: 15.66 A^3/atom
- Space group: I-4m2, No. 119
- ΔE_f (raw): -648 meV per atom
- Density of states at the Fermi level: 0.531 states/eV per atom
- ρ: 6.0 g cm⁻³

***

# 14
Here is LiDy3Si6Ni2 after structural relaxation from Alexandria. Energies are from PBE.

```
LiDy3Si6Ni2
1.0
5.696 0.000 0.000
-2.848 4.933 0.000
0.000 0.000 7.850
Li Dy Si Ni
1 3 6 2
Cartesian
0.000 0.000 0.000
0.000 0.000 3.925
0.000 3.289 0.887
2.848 1.644 6.964
0.000 1.886 6.086
-1.215 3.990 6.086
1.633 0.943 1.764
1.215 3.990 6.086
4.063 0.943 1.764
2.848 3.047 1.764
0.000 3.289 4.233
2.848 1.644 3.617
```

Values from the calculation:
- Calculated volume: 18.38 A^3/atom
- Space group: P-3m1, No. 164
- ΔE_f (raw): -317 meV per atom
- Density of states at the Fermi level: 0.379 states/eV per atom
- ρ: 5.9 g cm⁻³

***

# 15
Here is LiDyZrNi after structural relaxation from Alexandria. Energies are from PBE.

```
LiDyZrNi
1.0
0.000 3.369 3.369
3.369 0.000 3.369
3.369 3.369 0.000
Li Dy Zr Ni
1 1 1 1
Cartesian
0.000 0.000 0.000
1.685 1.685 1.685
5.054 5.054 5.054
3.369 3.369 3.369
```

Values from the calculation:
- Calculated volume: 19.13 A^3/atom
- Space group: F-43m, No. 216
- Energy relative to the elements: -1 kJ/mol of atoms
- Density of states at the Fermi level: 1.506 states/eV per atom
- ρ: 6.9 g cm⁻³

***

# 16
Here is Li2DyNpO6 after structural relaxation from Alexandria. Energies are from PBE.

```
Li2DyNpO6
1.0
2.685 1.550 5.166
-2.685 1.550 5.166
0.000 -3.100 5.166
Li Dy Np O
2 1 1 6
Cartesian
0.000 0.000 3.135
0.000 0.000 12.363
0.000 0.000 0.000
0.000 0.000 7.749
-0.746 -1.516 6.628
-1.686 -0.112 8.870
-0.940 1.404 6.628
0.940 -1.404 8.870
1.686 0.112 6.628
0.746 1.516 8.870
```

Values from the calculation:
- Calculated volume: 12.90 A^3/atom
- Space group: R-3, No. 148
- ΔE_f (raw): -2705 meV per atom
- ρ: 6.6 g cm⁻³

***

# 17
Here is LiDyNpO6 after structural relaxation from Alexandria. Energies are from PBE.

```
LiDyNpO6
1.0
5.035 0.000 0.000
0.000 5.035 0.000
0.000 0.000 9.923
Li Dy Np O
2 2 2 12
Cartesian
0.000 0.000 0.000
2.517 2.517 4.961
0.000 0.000 6.613
2.517 2.517 1.651
0.000 0.000 3.236
2.517 2.517 8.198
0.925 0.925 1.725
0.932 0.932 4.728
1.096 1.096 8.224
1.421 3.614 3.262
1.585 3.450 9.689
1.592 3.443 6.686
3.443 1.592 6.686
3.450 1.585 9.689
3.614 1.421 3.262
3.938 3.938 8.224
4.102 4.102 4.728
4.109 4.109 1.725
```

Values from the calculation:
- Calculated volume: 13.97 A^3/atom
- Space group: P4_2nm, No. 102
- ΔE_f (raw): -2496 meV per atom
- Density of states at the Fermi level: 1.049 states/eV per atom
- ρ: 6.6 g cm⁻³

***

# 18
Here is Li4DyNp3S8 after structural relaxation from Alexandria. Energies are from PBE.

```
Li4DyNp3S8
1.0
3.927 2.267 6.152
-3.927 2.267 6.152
0.000 -4.534 6.152
Li Dy Np S
4 1 3 8
Cartesian
0.000 0.000 0.000
-1.963 -1.134 6.152
-1.963 1.134 12.305
0.000 2.267 6.152
0.000 0.000 9.229
-3.927 0.000 9.229
-1.963 1.134 3.076
1.963 1.134 3.076
0.000 -2.261 7.672
-1.958 1.131 7.672
0.000 0.000 4.614
-1.958 -1.131 10.785
1.958 1.131 7.672
0.000 0.000 13.843
1.958 -1.131 10.785
0.000 2.261 10.785
```

Values from the calculation:
- Calculated volume: 20.54 A^3/atom
- Space group: R-3m, No. 166
- ΔE_f (raw): -1475 meV per atom
- Density of states at the Fermi level: 1.838 states/eV per atom
- ρ: 5.8 g cm⁻³

***

# 19
Here is LiDy3Np3S8 after structural relaxation from Alexandria. Energies are from PBE.

```
LiDy3Np3S8
1.0
3.886 2.244 6.344
-3.886 2.244 6.344
0.000 -4.488 6.344
Li Dy Np S
1 3 3 8
Cartesian
0.000 0.000 0.000
-3.886 0.000 9.516
-1.943 1.122 3.172
1.943 1.122 3.172
-1.943 -1.122 6.344
-1.943 1.122 12.688
0.000 2.244 6.344
0.000 -2.281 7.900
-1.975 1.140 7.900
-1.975 -1.140 11.132
0.000 0.000 4.755
0.000 0.000 14.277
1.975 1.140 7.900
1.975 -1.140 11.132
0.000 2.281 11.132
```

Values from the calculation:
- Calculated volume: 22.13 A^3/atom
- Space group: R-3m, No. 166
- ΔE_f (raw): -1665 meV per atom
- Density of states at the Fermi level: 2.117 states/eV per atom
- ρ: 7.3 g cm⁻³

***

# 20
Here is LiDy3Np4S8 after structural relaxation from Alexandria. Energies are from PBE.

```
LiDy3Np4S8
1.0
3.903 2.253 6.379
-3.903 2.253 6.379
0.000 -4.506 6.379
Li Dy Np S
1 3 4 8
Cartesian
0.000 0.000 0.000
-1.951 -1.127 6.379
-1.951 1.127 12.758
0.000 2.253 6.379
-3.903 0.000 9.568
-1.951 1.127 3.189
1.951 1.127 3.189
0.000 0.000 9.568
0.000 -2.285 7.940
-1.979 1.142 7.940
-1.979 -1.142 11.197
0.000 0.000 4.787
0.000 0.000 14.349
1.979 1.142 7.940
1.979 -1.142 11.197
0.000 2.285 11.197
```

Values from the calculation:
- Calculated volume: 21.03 A^3/atom
- Space group: R-3m, No. 166
- ΔE_f (raw): -1623 meV per atom
- Density of states at the Fermi level: 2.095 states/eV per atom
- ρ: 8.4 g cm⁻³

***

# 21
Here is LiDyNp2S5 after structural relaxation from Alexandria. Energies are from PBE.

```
LiDyNp2S5
1.0
4.972 0.000 0.000
0.000 4.972 0.000
0.000 0.000 9.551
Li Dy Np S
1 1 2 5
Cartesian
0.000 0.000 0.000
0.000 0.000 4.775
2.486 2.486 2.680
2.486 2.486 6.871
0.000 0.000 2.173
0.000 0.000 7.378
0.000 2.486 4.775
2.486 0.000 4.775
2.486 2.486 0.000
```

Values from the calculation:
- Calculated volume: 26.23 A^3/atom
- Space group: P4/mmm, No. 123
- ΔE_f (raw): -1039 meV per atom
- Density of states at the Fermi level: 1.429 states/eV per atom
- ρ: 5.7 g cm⁻³

***

# 22
Here is LiDyNpS4 after structural relaxation from Alexandria. Energies are from PBE.

```
LiDyNpS4
1.0
-3.943 4.002 5.580
3.943 -4.002 5.580
3.943 4.002 -5.580
Li Dy Np S
2 2 2 8
Cartesian
0.000 2.001 1.483
3.943 2.001 4.097
1.971 2.001 -2.790
1.971 -2.001 2.790
3.943 0.000 0.000
0.000 0.000 5.580
3.943 -0.104 2.676
2.123 2.001 -0.046
5.763 2.001 -0.046
3.943 3.897 -2.676
0.000 0.104 8.255
-1.820 2.001 5.626
1.820 2.001 5.626
0.000 4.106 2.904
```

Values from the calculation:
- Calculated volume: 25.15 A^3/atom
- Space group: Imma, No. 74
- ΔE_f (raw): -1574 meV per atom
- Density of states at the Fermi level: 1.385 states/eV per atom
- ρ: 5.0 g cm⁻³

***

# 23
Here is Li3Dy3NpS8 after structural relaxation from Alexandria. Energies are from PBE.

```
Li3Dy3NpS8
1.0
3.939 2.274 6.163
-3.939 2.274 6.163
0.000 -4.548 6.163
Li Dy Np S
3 3 1 8
Cartesian
-1.969 -1.137 6.163
-1.969 1.137 12.326
0.000 2.274 6.163
-3.939 0.000 9.244
-1.969 1.137 3.081
1.969 1.137 3.081
0.000 0.000 9.244
0.000 0.000 4.620
-1.927 -1.112 10.742
0.000 -2.225 7.747
-1.927 1.112 7.747
1.927 -1.112 10.742
0.000 2.225 10.742
1.927 1.112 7.747
0.000 0.000 13.869
```

Values from the calculation:
- Calculated volume: 22.08 A^3/atom
- Space group: R-3m, No. 166
- ΔE_f (raw): -1708 meV per atom
- Density of states at the Fermi level: 0.818 states/eV per atom
- ρ: 5.0 g cm⁻³